[1]
Here is CaTiSeN2 after structural relaxation from Alexandria. Energies are from PBE.

```
data_CaTiSeN2
_chemical_formula_sum 'Ca1 Ti1 Se1 N2'
_cell_length_a 3.981
_cell_length_b 3.981
_cell_length_c 5.342
_cell_angle_alpha 90.00
_cell_angle_beta 90.00
_cell_angle_gamma 90.00
_space_group_name_H-M_alt 'P 1'
_space_group_IT_number 1
loop_
_space_group_symop_operation_xyz
'x,y,z'
loop_
_atom_site_label
_atom_site_fract_x
_atom_site_fract_y
_atom_site_fract_z
Ca1 0.000 0.000 0.000
Ti1 0.500 0.500 0.500
Se1 0.500 0.500 0.000
N1 0.000 0.500 0.500
N2 0.500 0.000 0.500
```

Properties
D(E_F), states/eV/cell: 3.86
Formation energy from raw total energies, eV/f.u.: -2.8
V, Å³/atom: 16.93
Distance to the lowest polymorph of the same formula, eV/f.u.: 0.00
Symmetry: P4/mmm, No. 123

---

[2]
Here is CaTiSe2N after structural relaxation from Alexandria. Energies are from PBE.

```
data_CaTiSe2N
_chemical_formula_sum 'Ca1 Ti1 Se2 N1'
_cell_length_a 5.308
_cell_length_b 5.308
_cell_length_c 4.111
_cell_angle_alpha 90.00
_cell_angle_beta 90.00
_cell_angle_gamma 90.00
_space_group_name_H-M_alt 'P 1'
_space_group_IT_number 1
loop_
_space_group_symop_operation_xyz
'x,y,z'
loop_
_atom_site_label
_atom_site_fract_x
_atom_site_fract_y
_atom_site_fract_z
Ca1 0.000 0.000 0.000
Ti1 0.500 0.500 0.500
Se1 0.000 0.500 0.000
Se2 0.500 0.000 0.000
N1 0.000 0.000 0.500
```

Properties
D(E_F), states/eV/cell: 6.92
Formation energy from raw total energies, eV/f.u.: 3.6
V, Å³/atom: 23.17
Distance to the lowest polymorph of the same formula, eV/f.u.: 8.19
Symmetry: P4/mmm, No. 123

---

[3]
Here is CaTl2SeN after structural relaxation from Alexandria. Energies are from PBE.

```
data_CaTl2SeN
_chemical_formula_sum 'Ca1 Tl2 Se1 N1'
_cell_length_a 6.376
_cell_length_b 6.376
_cell_length_c 5.302
_cell_angle_alpha 90.00
_cell_angle_beta 90.00
_cell_angle_gamma 90.00
_space_group_name_H-M_alt 'P 1'
_space_group_IT_number 1
loop_
_space_group_symop_operation_xyz
'x,y,z'
loop_
_atom_site_label
_atom_site_fract_x
_atom_site_fract_y
_atom_site_fract_z
Ca1 0.000 0.000 0.000
Tl1 0.000 0.500 0.000
Tl2 0.500 0.000 0.000
Se1 0.000 0.000 0.500
N1 0.500 0.500 0.500
```

Properties
D(E_F), states/eV/cell: 3.53
Formation energy from raw total energies, eV/f.u.: 4.6
V, Å³/atom: 43.10
Symmetry: P4/mmm, No. 123

---

[4]
Here is CaTlSe2N after structural relaxation from Alexandria. Energies are from PBE.

```
data_CaTlSe2N
_chemical_formula_sum 'Ca1 Tl1 Se2 N1'
_cell_length_a 5.607
_cell_length_b 5.607
_cell_length_c 4.484
_cell_angle_alpha 90.00
_cell_angle_beta 90.00
_cell_angle_gamma 90.00
_space_group_name_H-M_alt 'P 1'
_space_group_IT_number 1
loop_
_space_group_symop_operation_xyz
'x,y,z'
loop_
_atom_site_label
_atom_site_fract_x
_atom_site_fract_y
_atom_site_fract_z
Ca1 0.000 0.000 0.000
Tl1 0.500 0.500 0.500
Se1 0.000 0.500 0.000
Se2 0.500 0.000 0.000
N1 0.000 0.000 0.500
```

Properties
D(E_F), states/eV/cell: 7.66
Formation energy from raw total energies, eV/f.u.: 2.3
V, Å³/atom: 28.20
Distance to the lowest polymorph of the same formula, eV/f.u.: 1.04
Symmetry: P4/mmm, No. 123

---

[5]
Here is CaTlSe2N after structural relaxation from Alexandria. Energies are from PBE.

```
data_CaTlSe2N
_chemical_formula_sum 'Ca1 Tl1 Se2 N1'
_cell_length_a 5.515
_cell_length_b 5.515
_cell_length_c 4.335
_cell_angle_alpha 90.00
_cell_angle_beta 90.00
_cell_angle_gamma 90.00
_space_group_name_H-M_alt 'P 1'
_space_group_IT_number 1
loop_
_space_group_symop_operation_xyz
'x,y,z'
loop_
_atom_site_label
_atom_site_fract_x
_atom_site_fract_y
_atom_site_fract_z
Ca1 0.000 0.000 0.000
Tl1 0.500 0.500 0.500
Se1 0.000 0.500 0.500
Se2 0.500 0.000 0.500
N1 0.500 0.500 0.000
```

Properties
D(E_F), states/eV/cell: 2.21
Formation energy from raw total energies, eV/f.u.: 1.3
V, Å³/atom: 26.37
Distance to the lowest polymorph of the same formula, eV/f.u.: 0.00
Symmetry: P4/mmm, No. 123

---

[6]
Here is CaVSe2N after structural relaxation from Alexandria. Energies are from PBE.

```
data_CaVSe2N
_chemical_formula_sum 'Ca1 V1 Se2 N1'
_cell_length_a 5.079
_cell_length_b 5.079
_cell_length_c 3.689
_cell_angle_alpha 90.00
_cell_angle_beta 90.00
_cell_angle_gamma 90.00
_space_group_name_H-M_alt 'P 1'
_space_group_IT_number 1
loop_
_space_group_symop_operation_xyz
'x,y,z'
loop_
_atom_site_label
_atom_site_fract_x
_atom_site_fract_y
_atom_site_fract_z
Ca1 0.000 0.000 0.000
V1 0.500 0.500 0.500
Se1 0.000 0.500 0.500
Se2 0.500 0.000 0.500
N1 0.500 0.500 0.000
```

Properties
D(E_F), states/eV/cell: 2.73
Formation energy from raw total energies, eV/f.u.: -3.8
V, Å³/atom: 19.03
Distance to the lowest polymorph of the same formula, eV/f.u.: 0.00
Symmetry: P4/mmm, No. 123

---

[7]
Here is CaVSe2N after structural relaxation from Alexandria. Energies are from PBE.

```
data_CaVSe2N
_chemical_formula_sum 'Ca1 V1 Se2 N1'
_cell_length_a 5.350
_cell_length_b 5.350
_cell_length_c 4.105
_cell_angle_alpha 90.00
_cell_angle_beta 90.00
_cell_angle_gamma 90.00
_space_group_name_H-M_alt 'P 1'
_space_group_IT_number 1
loop_
_space_group_symop_operation_xyz
'x,y,z'
loop_
_atom_site_label
_atom_site_fract_x
_atom_site_fract_y
_atom_site_fract_z
Ca1 0.000 0.000 0.000
V1 0.500 0.500 0.500
Se1 0.000 0.500 0.000
Se2 0.500 0.000 0.000
N1 0.000 0.000 0.500
```

Properties
D(E_F), states/eV/cell: 7.05
Formation energy from raw total energies, eV/f.u.: 5.5
V, Å³/atom: 23.50
Distance to the lowest polymorph of the same formula, eV/f.u.: 9.39
Symmetry: P4/mmm, No. 123

---

[8]
Here is CaWSe2N after structural relaxation from Alexandria. Energies are from PBE.

```
data_CaWSe2N
_chemical_formula_sum 'Ca1 W1 Se2 N1'
_cell_length_a 5.223
_cell_length_b 5.223
_cell_length_c 3.906
_cell_angle_alpha 90.00
_cell_angle_beta 90.00
_cell_angle_gamma 90.00
_space_group_name_H-M_alt 'P 1'
_space_group_IT_number 1
loop_
_space_group_symop_operation_xyz
'x,y,z'
loop_
_atom_site_label
_atom_site_fract_x
_atom_site_fract_y
_atom_site_fract_z
Ca1 0.000 0.000 0.000
W1 0.500 0.500 0.500
Se1 0.000 0.500 0.000
Se2 0.500 0.000 0.000
N1 0.000 0.000 0.500
```

Properties
D(E_F), states/eV/cell: 7.44
Formation energy from raw total energies, eV/f.u.: 8.4
V, Å³/atom: 21.31
Distance to the lowest polymorph of the same formula, eV/f.u.: 11.36
Symmetry: P4/mmm, No. 123

---

[9]
Here is CaWSe2N after structural relaxation from Alexandria. Energies are from PBE.

```
data_CaWSe2N
_chemical_formula_sum 'Ca1 W1 Se2 N1'
_cell_length_a 5.137
_cell_length_b 5.137
_cell_length_c 3.863
_cell_angle_alpha 90.00
_cell_angle_beta 90.00
_cell_angle_gamma 90.00
_space_group_name_H-M_alt 'P 1'
_space_group_IT_number 1
loop_
_space_group_symop_operation_xyz
'x,y,z'
loop_
_atom_site_label
_atom_site_fract_x
_atom_site_fract_y
_atom_site_fract_z
Ca1 0.000 0.000 0.000
W1 0.500 0.500 0.500
Se1 0.000 0.500 0.500
Se2 0.500 0.000 0.500
N1 0.500 0.500 0.000
```

Properties
D(E_F), states/eV/cell: 1.64
Formation energy from raw total energies, eV/f.u.: -3.0
V, Å³/atom: 20.39
Distance to the lowest polymorph of the same formula, eV/f.u.: 0.00
Symmetry: P4/mmm, No. 123

---

[10]
Here is CaZrSe2N after structural relaxation from Alexandria. Energies are from PBE.

```
data_CaZrSe2N
_chemical_formula_sum 'Ca1 Zr1 Se2 N1'
_cell_length_a 5.269
_cell_length_b 5.269
_cell_length_c 4.030
_cell_angle_alpha 90.00
_cell_angle_beta 90.00
_cell_angle_gamma 90.00
_space_group_name_H-M_alt 'P 1'
_space_group_IT_number 1
loop_
_space_group_symop_operation_xyz
'x,y,z'
loop_
_atom_site_label
_atom_site_fract_x
_atom_site_fract_y
_atom_site_fract_z
Ca1 0.000 0.000 0.000
Zr1 0.500 0.500 0.500
Se1 0.000 0.500 0.000
Se2 0.500 0.000 0.000
N1 0.000 0.000 0.500
```

Properties
D(E_F), states/eV/cell: 4.10
Formation energy from raw total energies, eV/f.u.: 2.0
V, Å³/atom: 22.37
Distance to the lowest polymorph of the same formula, eV/f.u.: 6.71
Symmetry: P4/mmm, No. 123

---

[11]
Here is CaZrSe2N after structural relaxation from Alexandria. Energies are from PBE.

```
data_CaZrSe2N
_chemical_formula_sum 'Ca1 Zr1 Se2 N1'
_cell_length_a 5.357
_cell_length_b 5.357
_cell_length_c 4.112
_cell_angle_alpha 90.00
_cell_angle_beta 90.00
_cell_angle_gamma 90.00
_space_group_name_H-M_alt 'P 1'
_space_group_IT_number 1
loop_
_space_group_symop_operation_xyz
'x,y,z'
loop_
_atom_site_label
_atom_site_fract_x
_atom_site_fract_y
_atom_site_fract_z
Ca1 0.000 0.000 0.000
Zr1 0.500 0.500 0.500
Se1 0.000 0.500 0.500
Se2 0.500 0.000 0.500
N1 0.500 0.500 0.000
```

Properties
D(E_F), states/eV/cell: 2.74
Formation energy from raw total energies, eV/f.u.: -4.7
V, Å³/atom: 23.60
Distance to the lowest polymorph of the same formula, eV/f.u.: 0.00
Symmetry: P4/mmm, No. 123

---

[12]
Here is Ca2SiN after structural relaxation from Alexandria. Energies are from PBE.

```
data_Ca2SiN
_chemical_formula_sum 'Ca4 Si2 N2'
_cell_length_a 6.092
_cell_length_b 6.092
_cell_length_c 6.092
_cell_angle_alpha 107.90
_cell_angle_beta 107.90
_cell_angle_gamma 112.66
_space_group_name_H-M_alt 'P 1'
_space_group_IT_number 1
loop_
_space_group_symop_operation_xyz
'x,y,z'
loop_
_atom_site_label
_atom_site_fract_x
_atom_site_fract_y
_atom_site_fract_z
Ca1 0.040 0.125 0.415
Ca2 0.375 0.960 0.085
Ca3 0.710 0.625 0.585
Ca4 0.875 0.290 0.915
Si1 0.250 0.750 0.500
Si2 0.500 0.500 0.000
N1 0.000 0.000 0.000
N2 0.750 0.250 0.500
```

Properties
D(E_F), states/eV/cell: 3.46
Formation energy from raw total energies, eV/f.u.: -0.4
V, Å³/atom: 21.70
Symmetry: I-42d, No. 122